Here is Li2MnP2HO8 after structural relaxation from Alexandria. Energies are from GGA+U.

Unit cell a=4.7755 b=8.3802 c=7.6288 alpha=90.00 beta=104.49 gamma=90.00
Element x y z (fractional)
Li (0.1383, 0.0000, 0.0991)
Li (0.3528, 0.2814, 0.4023)
Li (0.6472, 0.7814, 0.5977)
Li (0.8617, 0.5000, 0.9009)
Mn (0.2477, 0.6408, 0.2527)
Mn (0.7523, 0.1408, 0.7473)
P (0.1227, 0.0003, 0.4871)
P (0.3800, 0.2824, 0.0084)
P (0.6200, 0.7824, 0.9916)
P (0.8773, 0.5003, 0.5129)
H (0.2688, 0.6476, 0.7585)
H (0.7312, 0.1476, 0.2415)
O (0.0034, 0.5890, 0.6939)
O (0.1077, 0.4789, 0.3999)
O (0.1390, 0.1663, 0.9083)
O (0.2403, 0.8373, 0.4513)
O (0.2625, 0.4431, 0.0492)
O (0.3656, 0.1142, 0.5930)
O (0.3868, 0.8024, 0.1007)
O (0.4911, 0.6942, 0.8062)
O (0.5089, 0.1942, 0.1938)
O (0.6132, 0.3024, 0.8993)
O (0.6344, 0.6142, 0.4070)
O (0.7375, 0.9431, 0.9508)
O (0.7597, 0.3373, 0.5487)
O (0.8610, 0.6663, 0.0917)
O (0.8923, 0.9789, 0.6001)
O (0.9966, 0.0890, 0.3061)

Computed properties:
calculated total energy = -6.720 eV per atom
space-group type = P2_1 (4)